# KSr2MoO6 | Alexandria via LeMat-Bulk | GGA+U | optimized geometry
data_KSr2MoO6
_chemical_formula_sum 'K2 Sr4 Mo2 O12'
_cell_length_a 5.9076
_cell_length_b 6.3700
_cell_length_c 10.2561
_cell_angle_alpha 90.00
_cell_angle_beta 123.25
_cell_angle_gamma 90.00
_space_group_name_H-M_alt 'P 1 21/c 1'
_space_group_IT_number 14
_space_group_name_Hall '-P 2ybc'
loop_
_atom_site_label
_atom_site_type_symbol
_atom_site_fract_x
_atom_site_fract_y
_atom_site_fract_z
K1 K 0.0000 0.0000 0.0000
Sr1 Sr 0.2132 0.0541 0.7294
Mo1 Mo 0.5000 0.0000 0.5000
O1 O 0.1897 0.1551 0.4645
O2 O 0.2637 0.7470 0.9046
O3 O 0.4205 0.0872 0.2969
# * total DFT energy (no corrections): -6.2048 eV/atom
# * magnetization: 1.1 μB/f.u.
# * calculated density: 4.2 g cm⁻³